(1)
The following is a DFT calculation (PBE) of a relaxed Cu2Sn crystal.

Results
- final energy (eV per cell) = -32.785
- symmetry = P-62m

Cell lengths 7.3618, 7.3618, 3.0732 Å; angles 90.00, 90.00, 120.00 degrees
With the nearest neighbours (Å) after each atom.
Element x y z (fractional)
Cu: 0.0000 0.3002 0.0000  4 Sn 2.58-2.69
Cu: 0.0000 0.6344 0.5000  5 Sn 2.69-2.80, 6 Cu 2.90-2.92
Cu: 0.3002 0.0000 0.0000  4 Sn 2.58-2.69
Cu: 0.3656 0.3656 0.5000  5 Sn 2.69-2.80, 6 Cu 2.90-2.92
Cu: 0.6344 0.0000 0.5000  5 Sn 2.69-2.80, 6 Cu 2.90-2.92
Cu: 0.6998 0.6998 0.0000  4 Sn 2.58-2.69
Sn: 0.0000 0.0000 0.5000  9 Cu 2.69
Sn: 0.3333 0.6667 0.0000  9 Cu 2.58-2.80
Sn: 0.6667 0.3333 0.0000  9 Cu 2.58-2.80

---

(2)
The following is a DFT calculation (PBE) of a relaxed Cu124Sn crystal.

Results
- final energy (eV per cell) = -464.382
- symmetry = Fm-3m

Cell lengths 12.7572, 12.7572, 12.7572 Å; angles 60.00, 60.00, 60.00 degrees
With the nearest neighbours (Å) after each atom.
Element x y z (fractional)
Cu: 0.0983 0.5000 0.5000  12 Cu 2.48-2.56
Cu: 0.0981 0.5001 0.7009  12 Cu 2.53-2.56
Cu: 0.0983 0.5000 0.9017  12 Cu 2.48-2.56
Cu: 0.0981 0.7009 0.5001  12 Cu 2.53-2.56
Cu: 0.0981 0.7009 0.7009  12 Cu 2.53-2.56
Cu: 0.0983 0.9017 0.5000  12 Cu 2.48-2.56
Cu: 0.1000 0.1000 0.1000  12 Cu 2.55
Cu: 0.1001 0.1001 0.2998  12 Cu 2.53-2.55
Cu: 0.1001 0.1001 0.5000  12 Cu 2.53-2.55
Cu: 0.1000 0.1000 0.7000  12 Cu 2.55
Cu: 0.0999 0.0999 0.9001  12 Cu 2.55
Cu: 0.1001 0.2998 0.1001  12 Cu 2.53-2.55
Cu: 0.1005 0.2998 0.2998  12 Cu 2.54-2.55
Cu: 0.1001 0.2998 0.5000  12 Cu 2.53-2.55
Cu: 0.0997 0.3000 0.7000  12 Cu 2.54-2.55
Cu: 0.0997 0.3000 0.9003  12 Cu 2.54-2.55
Cu: 0.1001 0.5000 0.1001  12 Cu 2.53-2.55
Cu: 0.1001 0.5000 0.2998  12 Cu 2.53-2.55
Cu: 0.1000 0.7000 0.1000  12 Cu 2.55
Cu: 0.0997 0.7000 0.3000  12 Cu 2.54-2.55
Cu: 0.0997 0.7000 0.9003  12 Cu 2.54-2.55
Cu: 0.0999 0.9001 0.0999  12 Cu 2.55
Cu: 0.0997 0.9003 0.3000  12 Cu 2.54-2.55
Cu: 0.0997 0.9003 0.7000  12 Cu 2.54-2.55
Cu: 0.0999 0.9001 0.9001  12 Cu 2.55
Cu: 0.2930 0.5000 0.5000  11 Cu 2.48-2.64, 1 Sn 2.64
Cu: 0.2930 0.5000 0.7070  11 Cu 2.48-2.64, 1 Sn 2.64
Cu: 0.2930 0.7070 0.5000  11 Cu 2.48-2.64, 1 Sn 2.64
Cu: 0.2991 0.2991 0.4999  12 Cu 2.53-2.56
Cu: 0.2990 0.2990 0.7010  12 Cu 2.54-2.56
Cu: 0.2991 0.2991 0.9019  12 Cu 2.53-2.56
Cu: 0.2991 0.4999 0.2991  12 Cu 2.53-2.56
Cu: 0.2991 0.4999 0.9019  12 Cu 2.53-2.56
Cu: 0.2990 0.7010 0.2990  12 Cu 2.54-2.56
Cu: 0.2990 0.7010 0.7010  12 Cu 2.54-2.56
Cu: 0.2991 0.9019 0.2991  12 Cu 2.53-2.56
Cu: 0.2991 0.9019 0.4999  12 Cu 2.53-2.56
Cu: 0.2998 0.1001 0.1001  12 Cu 2.53-2.55
Cu: 0.2998 0.1005 0.2998  12 Cu 2.54-2.55
Cu: 0.2998 0.1001 0.5000  12 Cu 2.53-2.55
Cu: 0.3000 0.0997 0.7000  12 Cu 2.54-2.55
Cu: 0.3000 0.0997 0.9003  12 Cu 2.54-2.55
Cu: 0.2998 0.2998 0.1005  12 Cu 2.54-2.55
Cu: 0.2998 0.2998 0.2998  12 Cu 2.54-2.55
Cu: 0.2998 0.5000 0.1001  12 Cu 2.53-2.55
Cu: 0.3000 0.7000 0.0997  12 Cu 2.54-2.55
Cu: 0.3000 0.7000 0.9003  12 Cu 2.54-2.55
Cu: 0.3000 0.9003 0.0997  12 Cu 2.54-2.55
Cu: 0.3000 0.9003 0.7000  12 Cu 2.54-2.55
Cu: 0.3000 0.9000 0.9000  12 Cu 2.55
Cu: 0.5000 0.0983 0.5000  12 Cu 2.48-2.56
Cu: 0.5001 0.0981 0.7009  12 Cu 2.53-2.56
Cu: 0.5000 0.0983 0.9017  12 Cu 2.48-2.56
Cu: 0.5000 0.1001 0.1001  12 Cu 2.53-2.55
Cu: 0.5000 0.1001 0.2998  12 Cu 2.53-2.55
Cu: 0.5000 0.2930 0.5000  11 Cu 2.48-2.64, 1 Sn 2.64
Cu: 0.5000 0.2930 0.7070  11 Cu 2.48-2.64, 1 Sn 2.64
Cu: 0.4999 0.2991 0.2991  12 Cu 2.53-2.56
Cu: 0.4999 0.2991 0.9019  12 Cu 2.53-2.56
Cu: 0.5000 0.2998 0.1001  12 Cu 2.53-2.55
Cu: 0.5000 0.5000 0.0983  12 Cu 2.48-2.56
Cu: 0.5000 0.5000 0.2930  11 Cu 2.48-2.64, 1 Sn 2.64
Cu: 0.5000 0.5000 0.7070  11 Cu 2.48-2.64, 1 Sn 2.64
Cu: 0.5000 0.5000 0.9017  12 Cu 2.48-2.56
Cu: 0.5000 0.7002 0.8999  12 Cu 2.53-2.55
Cu: 0.5001 0.7009 0.0981  12 Cu 2.53-2.56
Cu: 0.5001 0.7009 0.7009  12 Cu 2.53-2.56
Cu: 0.5000 0.7070 0.2930  11 Cu 2.48-2.64, 1 Sn 2.64
Cu: 0.5000 0.7070 0.5000  11 Cu 2.48-2.64, 1 Sn 2.64
Cu: 0.5000 0.8999 0.7002  12 Cu 2.53-2.55
Cu: 0.5000 0.8999 0.8999  12 Cu 2.53-2.55
Cu: 0.5000 0.9017 0.0983  12 Cu 2.48-2.56
Cu: 0.4999 0.9019 0.2991  12 Cu 2.53-2.56
Cu: 0.5000 0.9017 0.5000  12 Cu 2.48-2.56
Cu: 0.7000 0.1000 0.1000  12 Cu 2.55
Cu: 0.7000 0.0997 0.3000  12 Cu 2.54-2.55
Cu: 0.7000 0.0997 0.9003  12 Cu 2.54-2.55
Cu: 0.7000 0.3000 0.0997  12 Cu 2.54-2.55
Cu: 0.7000 0.3000 0.9003  12 Cu 2.54-2.55
Cu: 0.7002 0.5000 0.8999  12 Cu 2.53-2.55
Cu: 0.7002 0.7002 0.7002  12 Cu 2.54-2.55
Cu: 0.7002 0.7002 0.8995  12 Cu 2.54-2.55
Cu: 0.7000 0.9003 0.0997  12 Cu 2.54-2.55
Cu: 0.7000 0.9003 0.3000  12 Cu 2.54-2.55
Cu: 0.7002 0.8999 0.5000  12 Cu 2.53-2.55
Cu: 0.7002 0.8995 0.7002  12 Cu 2.54-2.55
Cu: 0.7002 0.8999 0.8999  12 Cu 2.53-2.55
Cu: 0.7009 0.0981 0.5001  12 Cu 2.53-2.56
Cu: 0.7009 0.0981 0.7009  12 Cu 2.53-2.56
Cu: 0.7010 0.2990 0.2990  12 Cu 2.54-2.56
Cu: 0.7010 0.2990 0.7010  12 Cu 2.54-2.56
Cu: 0.7009 0.5001 0.0981  12 Cu 2.53-2.56
Cu: 0.7009 0.5001 0.7009  12 Cu 2.53-2.56
Cu: 0.7009 0.7009 0.0981  12 Cu 2.53-2.56
Cu: 0.7010 0.7010 0.2990  12 Cu 2.54-2.56
Cu: 0.7009 0.7009 0.5001  12 Cu 2.53-2.56
Cu: 0.7070 0.2930 0.5000  11 Cu 2.48-2.64, 1 Sn 2.64
Cu: 0.7070 0.5000 0.2930  11 Cu 2.48-2.64, 1 Sn 2.64
Cu: 0.7070 0.5000 0.5000  11 Cu 2.48-2.64, 1 Sn 2.64
Cu: 0.9001 0.0999 0.0999  12 Cu 2.55
Cu: 0.9003 0.0997 0.3000  12 Cu 2.54-2.55
Cu: 0.9003 0.0997 0.7000  12 Cu 2.54-2.55
Cu: 0.9001 0.0999 0.9001  12 Cu 2.55
Cu: 0.9003 0.3000 0.0997  12 Cu 2.54-2.55
Cu: 0.9003 0.3000 0.7000  12 Cu 2.54-2.55
Cu: 0.9000 0.3000 0.9000  12 Cu 2.55
Cu: 0.8999 0.5000 0.7002  12 Cu 2.53-2.55
Cu: 0.8999 0.5000 0.8999  12 Cu 2.53-2.55
Cu: 0.9003 0.7000 0.0997  12 Cu 2.54-2.55
Cu: 0.9003 0.7000 0.3000  12 Cu 2.54-2.55
Cu: 0.8999 0.7002 0.5000  12 Cu 2.53-2.55
Cu: 0.8995 0.7002 0.7002  12 Cu 2.54-2.55
Cu: 0.8999 0.7002 0.8999  12 Cu 2.53-2.55
Cu: 0.9001 0.9001 0.0999  12 Cu 2.55
Cu: 0.9000 0.9000 0.3000  12 Cu 2.55
Cu: 0.8999 0.8999 0.5000  12 Cu 2.53-2.55
Cu: 0.8999 0.8999 0.7002  12 Cu 2.53-2.55
Cu: 0.9000 0.9000 0.9000  12 Cu 2.55
Cu: 0.9017 0.0983 0.5000  12 Cu 2.48-2.56
Cu: 0.9019 0.2991 0.2991  12 Cu 2.53-2.56
Cu: 0.9019 0.2991 0.4999  12 Cu 2.53-2.56
Cu: 0.9017 0.5000 0.0983  12 Cu 2.48-2.56
Cu: 0.9019 0.4999 0.2991  12 Cu 2.53-2.56
Cu: 0.9017 0.5000 0.5000  12 Cu 2.48-2.56
Sn: 0.5000 0.5000 0.5000  12 Cu 2.64

---

(3)
The following is a DFT calculation (PBE) of a relaxed Cu8Sn crystal.

Results
- final energy (eV per cell) = -66.396
- symmetry = C2/m

Cell lengths 4.3976, 4.3976, 25.4321 Å; angles 90.33, 90.33, 47.67 degrees
With the nearest neighbours (Å) after each atom.
Element x y z (fractional)
Cu: 0.0420 0.0420 0.3882  12 Cu 2.52-2.58
Cu: 0.0477 0.0477 0.7087  9 Cu 2.50-2.59
Cu: 0.1474 0.1474 0.4841  12 Cu 2.51-2.61
Cu: 0.2580 0.2580 0.2593  6 Cu 2.50-2.59, 3 Sn 2.69-2.71
Cu: 0.2588 0.2588 0.5807  12 Cu 2.52-2.61
Cu: 0.3453 0.3453 0.3556  12 Cu 2.52-2.58
Cu: 0.3522 0.3522 0.6769  11 Cu 2.50-2.59
Cu: 0.4441 0.4441 0.4521  12 Cu 2.52-2.59
Cu: 0.5559 0.5559 0.5479  12 Cu 2.52-2.59
Cu: 0.6478 0.6478 0.3231  11 Cu 2.50-2.59
Cu: 0.6547 0.6547 0.6444  12 Cu 2.52-2.58
Cu: 0.7412 0.7412 0.4193  12 Cu 2.52-2.61
Cu: 0.7420 0.7420 0.7407  6 Cu 2.50-2.59, 3 Sn 2.69-2.71
Cu: 0.8526 0.8526 0.5159  12 Cu 2.51-2.61
Cu: 0.9523 0.9523 0.2913  9 Cu 2.50-2.59
Cu: 0.9580 0.9580 0.6118  12 Cu 2.52-2.58
Sn: 0.4425 0.4425 0.7885  6 Cu 2.69-2.93
Sn: 0.5575 0.5575 0.2115  6 Cu 2.69-2.93

---

(4)
The following is a DFT calculation (PBE) of a relaxed CuSn2 crystal.

Results
- final energy (eV per cell) = -18.367
- symmetry = Fd-3m

Cell lengths 7.9141, 7.9141, 7.9141 Å; angles 60.00, 60.00, 60.00 degrees
With the nearest neighbours (Å) after each atom.
Element x y z (fractional)
Cu: 0.1250 0.1250 0.1250  4 Sn 2.42
Cu: 0.8750 0.8750 0.8750  4 Sn 2.42
Sn: 0.0000 0.0000 0.0000  2 Cu 2.42
Sn: 0.0000 0.0000 0.5000  2 Cu 2.42
Sn: 0.0000 0.5000 0.0000  2 Cu 2.42
Sn: 0.5000 0.0000 0.0000  2 Cu 2.42

---

(5)
The following is a DFT calculation (PBE) of a relaxed Cu7Sn2 crystal.

Results
- final energy (eV per cell) = -31.454
- symmetry = P-3m1

Cell lengths 2.8833, 2.8833, 20.9289 Å; angles 90.00, 90.00, 120.00 degrees
With the nearest neighbours (Å) after each atom.
Element x y z (fractional)
Cu: 0.0000 0.0000 0.0000  6 Cu 2.48
Cu: 0.0000 0.0000 0.2660  3 Cu 2.51
Cu: 0.0000 0.0000 0.7340  3 Cu 2.51
Cu: 0.3333 0.6667 0.0879  6 Cu 2.48-2.49
Cu: 0.3333 0.6667 0.8235  6 Cu 2.49-2.51
Cu: 0.6667 0.3333 0.1765  6 Cu 2.49-2.51
Cu: 0.6667 0.3333 0.9121  6 Cu 2.48-2.49
Sn: 0.3333 0.6667 0.3763  3 Cu 2.85, 6 Sn 2.88
Sn: 0.6667 0.3333 0.6237  3 Cu 2.85, 6 Sn 2.88

---

(6)
The following is a DFT calculation (PBE) of a relaxed Cu17Sn crystal.

Results
- final energy (eV per cell) = -132.376
- symmetry = P-3m1

Cell lengths 5.0892, 5.0892, 31.5670 Å; angles 90.00, 90.00, 120.00 degrees
With the nearest neighbours (Å) after each atom.
Element x y z (fractional)
Cu: 0.0000 0.0000 0.0000  12 Cu 2.54
Cu: 0.0000 0.0000 0.1972  12 Cu 2.54-2.56
Cu: 0.0000 0.0000 0.8028  12 Cu 2.54-2.56
Cu: 0.0000 0.5000 0.0000  12 Cu 2.54
Cu: 0.0017 0.5008 0.1979  11 Cu 2.53-2.56
Cu: 0.1667 0.3333 0.7363  7 Cu 2.54-2.56, 2 Sn 2.65
Cu: 0.1666 0.3331 0.9343  12 Cu 2.54-2.56
Cu: 0.1668 0.3336 0.1316  12 Cu 2.54-2.55
Cu: 0.1668 0.8332 0.1316  12 Cu 2.54-2.55
Cu: 0.1667 0.8333 0.7363  7 Cu 2.54-2.56, 2 Sn 2.65
Cu: 0.1666 0.8334 0.9343  12 Cu 2.54-2.56
Cu: 0.3331 0.1666 0.0657  12 Cu 2.54-2.56
Cu: 0.3333 0.1667 0.2637  7 Cu 2.54-2.56, 2 Sn 2.65
Cu: 0.3333 0.6667 0.0657  12 Cu 2.54-2.55
Cu: 0.3333 0.6667 0.8680  12 Cu 2.54-2.56
Cu: 0.3336 0.1668 0.8684  12 Cu 2.54-2.55
Cu: 0.4992 0.5008 0.1979  11 Cu 2.53-2.56
Cu: 0.4992 0.9983 0.1979  11 Cu 2.53-2.56
Cu: 0.5000 0.0000 0.0000  12 Cu 2.54
Cu: 0.5000 0.5000 0.0000  12 Cu 2.54
Cu: 0.5008 0.0017 0.8021  11 Cu 2.53-2.56
Cu: 0.5008 0.4992 0.8021  11 Cu 2.53-2.56
Cu: 0.6664 0.8332 0.1316  12 Cu 2.54-2.55
Cu: 0.6667 0.3333 0.1320  12 Cu 2.54-2.56
Cu: 0.6667 0.3333 0.9343  12 Cu 2.54-2.55
Cu: 0.6667 0.8333 0.7363  7 Cu 2.54-2.56, 2 Sn 2.65
Cu: 0.6669 0.8334 0.9343  12 Cu 2.54-2.56
Cu: 0.8334 0.1666 0.0657  12 Cu 2.54-2.56
Cu: 0.8333 0.1667 0.2637  7 Cu 2.54-2.56, 2 Sn 2.65
Cu: 0.8332 0.1668 0.8684  12 Cu 2.54-2.55
Cu: 0.8332 0.6664 0.8684  12 Cu 2.54-2.55
Cu: 0.8334 0.6669 0.0657  12 Cu 2.54-2.56
Cu: 0.8333 0.6667 0.2637  7 Cu 2.54-2.56, 2 Sn 2.65
Cu: 0.9983 0.4992 0.8021  11 Cu 2.53-2.56
Sn: 0.3333 0.6667 0.2868  6 Cu 2.65
Sn: 0.6667 0.3333 0.7132  6 Cu 2.65

---

(7)
The following is a DFT calculation (PBE) of a relaxed Cu7Sn crystal.

Results
- final energy (eV per cell) = -58.895
- symmetry = Pmmn
- offset from the most stable computed form (meV per atom) = 0

Cell lengths 2.7045, 3.4312, 32.3573 Å; angles 90.00, 90.00, 90.00 degrees
With the nearest neighbours (Å) after each atom.
Element x y z (fractional)
Cu: 0.2500 0.2500 0.0197  12 Cu 2.53-2.70
Cu: 0.2500 0.2500 0.0986  12 Cu 2.53-2.70
Cu: 0.2500 0.2500 0.1779  12 Cu 2.53-2.70
Cu: 0.2500 0.2500 0.2573  7 Cu 2.53-2.70
Cu: 0.2500 0.2500 0.7819  11 Cu 2.53-2.70
Cu: 0.2500 0.2500 0.8617  12 Cu 2.53-2.70
Cu: 0.2500 0.2500 0.9409  12 Cu 2.53-2.70
Cu: 0.7500 0.7500 0.0591  12 Cu 2.53-2.70
Cu: 0.7500 0.7500 0.1383  12 Cu 2.53-2.70
Cu: 0.7500 0.7500 0.2181  11 Cu 2.53-2.70
Cu: 0.7500 0.7500 0.7427  7 Cu 2.53-2.70
Cu: 0.7500 0.7500 0.8221  12 Cu 2.53-2.70
Cu: 0.7500 0.7500 0.9014  12 Cu 2.53-2.70
Cu: 0.7500 0.7500 0.9803  12 Cu 2.53-2.70
Sn: 0.2500 0.2500 0.6867  2 Sn 2.70, 4 Cu 2.84
Sn: 0.7500 0.7500 0.3133  2 Sn 2.70, 4 Cu 2.84

---

(8)
The following is a DFT calculation (PBE) of a relaxed Cu7Sn crystal.

Results
- final energy (eV per cell) = -58.340
- symmetry = P4/nmm
- offset from the most stable computed form (meV per atom) = 35

Cell lengths 2.7229, 2.7229, 38.4758 Å; angles 90.00, 90.00, 90.00 degrees
With the nearest neighbours (Å) after each atom.
Element x y z (fractional)
Cu: 0.2500 0.2500 0.0212  12 Cu 2.52-2.72
Cu: 0.2500 0.2500 0.1054  12 Cu 2.51-2.72
Cu: 0.2500 0.2500 0.1890  12 Cu 2.50-2.72
Cu: 0.2500 0.2500 0.2730  8 Cu 2.52-2.72
Cu: 0.2500 0.2500 0.7694  12 Cu 2.50-2.72
Cu: 0.2500 0.2500 0.8527  12 Cu 2.51-2.72
Cu: 0.2500 0.2500 0.9366  12 Cu 2.51-2.72
Cu: 0.7500 0.7500 0.0634  12 Cu 2.51-2.72
Cu: 0.7500 0.7500 0.1473  12 Cu 2.51-2.72
Cu: 0.7500 0.7500 0.2306  12 Cu 2.50-2.72
Cu: 0.7500 0.7500 0.7270  8 Cu 2.52-2.72
Cu: 0.7500 0.7500 0.8110  12 Cu 2.50-2.72
Cu: 0.7500 0.7500 0.8946  12 Cu 2.51-2.72
Cu: 0.7500 0.7500 0.9788  12 Cu 2.52-2.72
Sn: 0.2500 0.2500 0.6712  4 Sn 2.72, 4 Cu 2.88
Sn: 0.7500 0.7500 0.3288  4 Sn 2.72, 4 Cu 2.88

---

(9)
The following is a DFT calculation (PBE) of a relaxed Cu9Sn2 crystal.

Results
- final energy (eV per cell) = -38.507
- symmetry = P-3m1

Cell lengths 2.8293, 2.8293, 33.3946 Å; angles 90.00, 90.00, 120.00 degrees
With the nearest neighbours (Å) after each atom.
Element x y z (fractional)
Cu: 0.0000 0.0000 0.0000  6 Cu 2.50
Cu: 0.0000 0.0000 0.1703  6 Cu 2.51
Cu: 0.0000 0.0000 0.8297  6 Cu 2.51
Cu: 0.3333 0.6667 0.1133  6 Cu 2.50-2.51
Cu: 0.3333 0.6667 0.7726  3 Cu 2.51
Cu: 0.3333 0.6667 0.9433  6 Cu 2.50
Cu: 0.6667 0.3333 0.0567  6 Cu 2.50
Cu: 0.6667 0.3333 0.2274  3 Cu 2.51
Cu: 0.6667 0.3333 0.8867  6 Cu 2.50-2.51
Sn: 0.3333 0.6667 0.2971  6 Sn 2.83, 3 Cu 2.84
Sn: 0.6667 0.3333 0.7029  6 Sn 2.83, 3 Cu 2.84

---

(10)
The following is a DFT calculation (PBE) of a relaxed Sr2CuSn crystal.

Results
- final energy (eV per cell) = -11.151
- symmetry = F-43m

Cell lengths 5.4361, 5.4361, 5.4361 Å; angles 60.00, 60.00, 60.00 degrees
With the nearest neighbours (Å) after each atom.
Element x y z (fractional)
Sr: 0.0000 0.0000 0.0000  4 Cu 3.33, 4 Sr 3.33
Sr: 0.2500 0.2500 0.2500  4 Sn 3.33, 4 Sr 3.33
Cu: 0.7500 0.7500 0.7500  4 Sn 3.33, 4 Sr 3.33
Sn: 0.5000 0.5000 0.5000  4 Cu 3.33, 4 Sr 3.33

---

(11)
The following is a DFT calculation (PBE) of a relaxed SrCuSn2 crystal.

Results
- final energy (eV per cell) = -13.676
- symmetry = F-43m

Cell lengths 5.2697, 5.2697, 5.2697 Å; angles 60.00, 60.00, 60.00 degrees
With the nearest neighbours (Å) after each atom.
Element x y z (fractional)
Sr: 0.0000 0.0000 0.0000  4 Sn 3.23, 4 Cu 3.23
Cu: 0.2500 0.2500 0.2500  4 Sn 3.23, 4 Sr 3.23
Sn: 0.5000 0.5000 0.5000  4 Sn 3.23, 4 Cu 3.23
Sn: 0.7500 0.7500 0.7500  4 Sr 3.23, 4 Sn 3.23

---

(12)
The following is a DFT calculation (PBE) of a relaxed TaCu2Sn crystal.

Results
- final energy (eV per cell) = -21.781
- symmetry = F-43m

Cell lengths 4.5236, 4.5236, 4.5236 Å; angles 60.00, 60.00, 60.00 degrees
With the nearest neighbours (Å) after each atom.
Element x y z (fractional)
Ta: 0.0000 0.0000 0.0000  4 Sn 2.77, 4 Cu 2.77
Cu: 0.2500 0.2500 0.2500  4 Ta 2.77, 4 Cu 2.77
Cu: 0.5000 0.5000 0.5000  4 Sn 2.77, 4 Cu 2.77
Sn: 0.7500 0.7500 0.7500  4 Cu 2.77, 4 Ta 2.77